A relaxed structure of Zn2Ni21P6, computed with PBE.

SG: No. 225
Energy of formation from the pure elements, eV/atom: -0.39
N(E_F), states/eV per cell: 21.39
Magnetization, μB/cell: 0.00
VASP energy, eV per atom: -5.782

abc: 7.794 7.794 7.794
angles: 60.00 60.00 60.00
Fractional positions:
Zn: 0.250 0.250 0.250
Zn: 0.750 0.750 0.750
Ni: 0.000 0.000 0.000
Ni: 0.000 0.000 0.347
Ni: 0.000 0.000 0.653
Ni: 0.000 0.347 0.000
Ni: 0.000 0.347 0.653
Ni: 0.000 0.653 0.000
Ni: 0.000 0.653 0.347
Ni: 0.145 0.618 0.618
Ni: 0.347 0.000 0.000
Ni: 0.347 0.000 0.653
Ni: 0.347 0.653 0.000
Ni: 0.382 0.382 0.382
Ni: 0.382 0.382 0.855
Ni: 0.382 0.855 0.382
Ni: 0.618 0.145 0.618
Ni: 0.618 0.618 0.145
Ni: 0.618 0.618 0.618
Ni: 0.653 0.000 0.000
Ni: 0.653 0.000 0.347
Ni: 0.653 0.347 0.000
Ni: 0.855 0.382 0.382
P: 0.265 0.265 0.735
P: 0.265 0.735 0.265
P: 0.265 0.735 0.735
P: 0.735 0.265 0.265
P: 0.735 0.265 0.735
P: 0.735 0.735 0.265